# 1
Density functional theory data (PBE-GGA) for Cs3RbTl2Cl6 after structural relaxation.

Cell lengths 8.356, 8.356, 8.338 Å; angles 99.61, 99.61, 120.00 degrees
Atoms (fractional coordinates):
Cs (0.000, 0.000, 0.000)
Cs (0.333, 0.667, 0.000)
Cs (0.667, 0.333, 0.000)
Rb (0.500, 0.500, 0.500)
Tl (0.166, 0.834, 0.500)
Tl (0.834, 0.166, 0.500)
Cl (0.086, 0.423, 0.269)
Cl (0.241, 0.241, 0.733)
Cl (0.423, 0.086, 0.269)
Cl (0.577, 0.914, 0.731)
Cl (0.759, 0.759, 0.267)
Cl (0.914, 0.577, 0.731)

Properties
The energy relative to the elements, uncorrected comes out at -1.642 eV per atom. Its spin magnetization is 0.000 μB per atom.

=====

# 2
Density functional theory data (PBE-GGA) for NaIn2HgPt after structural relaxation.

Cell lengths 5.222, 5.222, 5.774 Å; angles 90.00, 90.00, 90.00 degrees
Atoms (fractional coordinates):
Na (0.000, 0.000, 0.000)
In (0.000, 0.500, 0.500)
In (0.500, 0.000, 0.500)
Hg (0.500, 0.500, 0.000)
Pt (0.000, 0.000, 0.500)

Properties
The formation energy from the elements is -206.0 meV/atom. Its spin magnetization is 0.000 μB per atom. The calculation puts the energy above the most stable polymorph in this dataset at 0 meV/atom.

=====

# 3
Density functional theory data (PBE-GGA) for Si2RhBr after structural relaxation.

Cell lengths 7.228, 7.228, 7.228 Å; angles 28.30, 28.30, 28.30 degrees
Atoms (fractional coordinates):
Si (0.229, 0.229, 0.229)
Si (0.771, 0.771, 0.771)
Rh (0.500, 0.500, 0.500)
Br (0.000, 0.000, 0.000)

Properties
The energy relative to the elements, uncorrected comes out at -0.040 eV per atom. Its spin magnetization is 0.000 μB per atom. The calculation puts the energy above the most stable polymorph in this dataset at 0 meV/atom.